## LaTmO3 (GGA-PBE)

Data for a relaxed LaTmO3 crystal.

a b c (Å): 6.0493 8.4678 5.8562
angles (deg): 90.00 90.00 90.00
With the nearest neighbours (Å) after each atom.
Fractional coordinates of all 20 atoms:
La1 0.0479 0.2500 0.0150  4 O 2.37-2.54
La2 0.4521 0.7500 0.5150  4 O 2.37-2.54
La3 0.5479 0.2500 0.4850  4 O 2.37-2.54
La4 0.9521 0.7500 0.9850  4 O 2.37-2.54
Tm1 0.0000 0.0000 0.5000  6 O 2.22-2.26
Tm2 0.0000 0.5000 0.5000  6 O 2.22-2.26
Tm3 0.5000 0.0000 0.0000  6 O 2.22-2.26
Tm4 0.5000 0.5000 0.0000  6 O 2.22-2.26
O1 0.0546 0.7500 0.3756  2 Tm 2.26, 1 La 2.37
O2 0.1952 0.5663 0.8065  2 Tm 2.22-2.24, 1 La 2.38
O3 0.1952 0.9337 0.8065  2 Tm 2.22-2.24, 1 La 2.38
O4 0.3048 0.0663 0.3065  2 Tm 2.22-2.24, 1 La 2.38
O5 0.3048 0.4337 0.3065  2 Tm 2.22-2.24, 1 La 2.38
O6 0.4454 0.2500 0.8756  2 Tm 2.26, 1 La 2.37
O7 0.5546 0.7500 0.1244  2 Tm 2.26, 1 La 2.37
O8 0.6952 0.5663 0.6935  2 Tm 2.22-2.24, 1 La 2.38
O9 0.6952 0.9337 0.6935  2 Tm 2.22-2.24, 1 La 2.38
O10 0.8048 0.0663 0.1935  2 Tm 2.22-2.24, 1 La 2.38
O11 0.8048 0.4337 0.1935  2 Tm 2.22-2.24, 1 La 2.38
O12 0.9454 0.2500 0.6244  2 Tm 2.26, 1 La 2.37

Results
* formation energy without anion corrections: -3.546 eV/atom
* total moment: 0.00 μB/f.u.
* DOS at the Fermi energy: 0.000 states/eV/cell
* calculated volume: 15.00 Å³/atom
* E_tot: -0.3087 hartree per atom